Compound: Dy2Tm4In
Source: the Alexandria database
Functional: GGA-PBE
Structure: optimized geometry

As for the electronic total energy: -3.858 eV/atom. As for the energy above the most stable polymorph in this dataset: 0.411 eV/atom. The value obtained for the formation energy is 404 meV/atom.

Unit cell a=4.6868 b=4.6868 c=37.7690 alpha=90.00 beta=90.00 gamma=120.00
Space group R-3m (No. 166, hexagonal axes)
Asymmetric unit:
Dy1 0.0000 0.0000 0.1930 [6 per cell]
Tm1 0.0000 0.0000 0.0883 [6 per cell]
Tm2 0.0000 0.0000 0.2979 [6 per cell]
In1 0.0000 0.0000 0.0000 [3 per cell]

Compound: InNiCl2
Source: the Alexandria database
Functional: GGA-PBE
Structure: optimized geometry

As for the electronic total energy: -3.464 eV/atom. As for the energy above the most stable polymorph in this dataset: 0.062 eV/atom. Its uncorrected formation energy is -0.41 eV per atom.

Unit cell a=7.7304 b=7.7304 c=6.1834 alpha=90.00 beta=90.00 gamma=90.00
Space group I-42d (No. 122)
Asymmetric unit:
In1 0.0000 0.0000 0.0000 [4 per cell]
Ni1 0.0000 0.0000 0.5000 [4 per cell]
Cl1 0.1235 0.7500 0.6250 [8 per cell]

Compound: TaCd2S2
Source: the Alexandria database
Functional: GGA-PBE
Structure: optimized geometry

As for the electronic total energy: -4.476 eV/atom. As for the energy above the most stable polymorph in this dataset: 0.000 eV/atom. Its uncorrected formation energy is -0.09 eV per atom.

Unit cell a=6.5261 b=6.5261 c=4.9744 alpha=90.00 beta=90.00 gamma=90.00
Space group P4/mbm (No. 127)
Asymmetric unit:
Ta1 0.0000 0.0000 0.0000 [2 per cell]
Cd1 0.1617 0.3383 0.5000 [4 per cell]
S1 0.1830 0.6830 0.0000 [4 per cell]

Compound: Li2HgRu
Source: the Alexandria database
Functional: GGA-PBE
Structure: optimized geometry

As for the electronic total energy: -3.188 eV/atom. The value obtained for the formation energy is 163 meV/atom.

Unit cell a=3.8784 b=3.8784 c=8.1406 alpha=90.00 beta=90.00 gamma=90.00
Space group I-4m2 (No. 119)
Asymmetric unit:
Li1 0.0000 0.0000 0.0000 [2 per cell]
Li2 0.0000 0.5000 0.2500 [2 per cell]
Hg1 0.0000 0.0000 0.5000 [2 per cell]
Ru1 0.0000 0.5000 0.7500 [2 per cell]

Compound: SmPaTiN4
Source: the Alexandria database
Functional: GGA-PBE
Structure: optimized geometry

As for the electronic total energy: -9.347 eV/atom. Its uncorrected formation energy is -1.43 eV per atom.

Unit cell a=5.5160 b=12.2444 c=5.5043 alpha=90.00 beta=90.00 gamma=90.00
Space group Cmcm (No. 63)
Asymmetric unit:
Sm1 0.0000 0.1073 0.2500 [4 per cell]
Pa1 0.0000 0.3866 0.2500 [4 per cell]
Ti1 0.0000 0.2366 0.7500 [4 per cell]
N1 0.0000 0.0792 0.7500 [4 per cell]
N2 0.0000 0.4414 0.7500 [4 per cell]
N3 0.2500 0.2500 0.0000 [8 per cell]

Compound: RhAuS2
Source: the Alexandria database
Functional: GGA-PBE
Structure: optimized geometry

As for the electronic total energy: -4.720 eV/atom. Its uncorrected formation energy is 0.00 eV per atom.

Unit cell a=3.2124 b=23.2346 c=3.8050 alpha=90.00 beta=90.00 gamma=90.00
Space group Cmcm (No. 63)
Asymmetric unit:
Rh1 0.0000 0.1833 0.2500 [4 per cell]
Au1 0.0000 0.4588 0.2500 [4 per cell]
S1 0.0000 0.2879 0.2500 [4 per cell]
S2 0.0000 0.3923 0.7500 [4 per cell]

Compound: MgInPb2
Source: the Alexandria database
Functional: GGA-PBE
Structure: optimized geometry

As for the electronic total energy: -2.932 eV/atom. The value obtained for the formation energy is 6 meV/atom.

Unit cell a=11.9801 b=3.3565 c=5.8071 alpha=90.00 beta=105.21 gamma=90.00
Space group C2/m (No. 12)
Asymmetric unit:
Mg1 0.0000 0.0000 0.0000 [2 per cell]
In1 0.0000 0.5000 0.5000 [2 per cell]
Pb1 0.2380 0.5000 0.2434 [4 per cell]